1.
This record from Alexandria via LeMat-Bulk describes an optimized crystal structure of PmTlAgBr5. The functional is GGA-PBE.

Cell lengths 8.0503, 8.0503, 10.8100 Å; angles 102.59, 102.59, 109.41 degrees
Positions (direct):
Pm1 0.0000 0.0000 0.0000
Pm2 0.0000 0.0000 0.5000
Tl1 0.3597 0.6403 0.7500
Tl2 0.6403 0.3597 0.2500
Ag1 0.3107 0.6893 0.2500
Ag2 0.6893 0.3107 0.7500
Br1 0.0754 0.6828 0.3929
Br2 0.0832 0.9168 0.7500
Br3 0.2589 0.3758 0.0576
Br4 0.3172 0.9246 0.1071
Br5 0.3758 0.2589 0.5576
Br6 0.6242 0.7411 0.4424
Br7 0.6828 0.0754 0.8929
Br8 0.7411 0.6242 0.9424
Br9 0.9168 0.0832 0.2500
Br10 0.9246 0.3172 0.6071

Calculated values
N(E_F) = 0.00 states/eV/cell
total energy = -3.519 eV per atom

=====

2.
This record from Alexandria via LeMat-Bulk describes an optimized crystal structure of ZrNbGaSe2. The functional is GGA-PBE.

Cell lengths 4.8713, 4.8713, 4.8205 Å; angles 90.00, 90.00, 90.00 degrees
Positions (direct):
Zr1 0.0000 0.0000 0.0000
Nb1 0.5000 0.5000 0.0000
Ga1 0.5000 0.5000 0.5000
Se1 0.0000 0.5000 0.5000
Se2 0.5000 0.0000 0.5000

Calculated values
N(E_F) = 5.26 states/eV/cell
total energy = -5.059 eV per atom

=====

3.
This record from Alexandria via LeMat-Bulk describes an optimized crystal structure of KAg12Se6. The functional is GGA-PBE.

Cell lengths 7.7233, 7.7233, 7.7233 Å; angles 96.13, 96.13, 96.13 degrees
Positions (direct):
K1 0.0000 0.0000 0.0000
Ag1 0.1254 0.3983 0.3983
Ag2 0.2125 0.5000 0.7875
Ag3 0.2125 0.7875 0.5000
Ag4 0.3983 0.1254 0.3983
Ag5 0.3983 0.3983 0.1254
Ag6 0.5000 0.2125 0.7875
Ag7 0.5000 0.7875 0.2125
Ag8 0.6017 0.6017 0.8746
Ag9 0.6017 0.8746 0.6017
Ag10 0.7875 0.2125 0.5000
Ag11 0.7875 0.5000 0.2125
Ag12 0.8746 0.6017 0.6017
Se1 0.1706 0.1706 0.6142
Se2 0.1706 0.6142 0.1706
Se3 0.3858 0.8294 0.8294
Se4 0.6142 0.1706 0.1706
Se5 0.8294 0.3858 0.8294
Se6 0.8294 0.8294 0.3858

Calculated values
N(E_F) = 3.12 states/eV/cell
total energy = -3.095 eV per atom